Entry 1:
Sc2HS2 | PBE-GGA | optimized geometry

Lattice parameters (Å, degrees): 5.659 5.659 6.724 119.71 119.71 79.65
Sites, in units of the cell vectors:
Sc  0.125  0.875  0.750
Sc  0.375  0.625  0.250
Sc  0.625  0.375  0.750
Sc  0.875  0.125  0.250
H  0.125  0.875  0.250
H  0.875  0.125  0.750
S  0.159  0.409  0.750
S  0.409  0.159  0.250
S  0.591  0.841  0.750
S  0.841  0.591  0.250

total energy	-6.204	eV per atom
symmetry	C2/c, No. 15
spin magnetization	0.00	μB/cell

Entry 2:
PuPaI2F6 | PBE-GGA | optimized geometry

Lattice parameters (Å, degrees): 5.797 5.931 7.235 103.09 90.03 119.18
Sites, in units of the cell vectors:
Pu  0.000  0.000  0.000
Pa  0.500  0.000  0.500
I  0.309  0.619  0.915
I  0.691  0.381  0.085
F  0.219  0.992  0.701
F  0.228  0.009  0.299
F  0.294  0.589  0.407
F  0.706  0.411  0.593
F  0.772  0.991  0.701
F  0.781  0.008  0.299

uncorrected formation energy	-2956	meV/atom
symmetry	P-1, No. 2
spin magnetization	5.05	μB/cell